Entry 1:
Below is a relaxed AlZn4Se crystal, with properties calculated at the PBE level.

Summary:
**Formation energy without anion corrections**: 110 kJ/mol of formula units
**Density**: 5.889 g/cm3
**Symmetry**: F-43m, No. 216
**Density of states at the Fermi level**: 3.22 states/eV/f.u.
**Uncorrected energy**: -1.86 eV/atom
**Crystal system**: cubic

a b c (Å): 5.2726 5.2726 5.2726
angles (deg): 60.00 60.00 60.00
Atoms (fractional coordinates):
Al (0.0000, 0.0000, 0.0000)
Zn (0.3738, 0.3738, 0.3738)
Zn (0.3738, 0.3738, 0.8785)
Zn (0.3738, 0.8785, 0.3738)
Zn (0.8785, 0.3738, 0.3738)
Se (0.7500, 0.7500, 0.7500)



Entry 2:
Below is a relaxed AlZnSe2 crystal, with properties calculated at the PBE level.

Summary:
**Formation energy without anion corrections**: -104 kJ/mol of formula units
**Density**: 3.828 g/cm3
**Symmetry**: Immm, No. 71
**Density of states at the Fermi level**: 0.87 states/eV/f.u.
**Uncorrected energy**: -3.27 eV/atom
**Crystal system**: orthorhombic

a b c (Å): 5.7936 5.7936 5.7936
angles (deg): 143.65 102.45 88.80
Atoms (fractional coordinates):
Al (0.0000, 0.0000, 0.0000)
Zn (0.5000, 0.0000, 0.5000)
Se (0.2421, 0.5000, 0.7421)
Se (0.7579, 0.5000, 0.2579)



Entry 3:
Below is a relaxed Al2ZnSe4 crystal, with properties calculated at the PBE level.

Summary:
**Formation energy without anion corrections**: -564 kJ/mol of formula units
**Density**: 4.160 g/cm3
**Symmetry**: I-4, No. 82
**Density of states at the Fermi level**: 0.00 states/eV/f.u.
**Uncorrected energy**: -4.08 eV/atom
**Crystal system**: tetragonal

a b c (Å): 6.7808 6.7808 6.7808
angles (deg): 130.99 130.99 71.82
Atoms (fractional coordinates):
Al (0.0000, 0.0000, 0.0000)
Al (0.7500, 0.2500, 0.5000)
Zn (0.2500, 0.7500, 0.5000)
Se (0.1343, 0.1456, 0.5155)
Se (0.3811, 0.8657, 0.0113)
Se (0.6302, 0.6189, 0.4845)
Se (0.8544, 0.3698, 0.9887)



Entry 4:
Below is a relaxed AlZnSe2 crystal, with properties calculated at the PBE level.

Summary:
**Formation energy without anion corrections**: -197 kJ/mol of formula units
**Density**: 5.286 g/cm3
**Symmetry**: R-3m, No. 166
**Density of states at the Fermi level**: 0.30 states/eV/f.u.
**Uncorrected energy**: -3.51 eV/atom
**Crystal system**: trigonal

a b c (Å): 6.6363 6.6363 6.6363
angles (deg): 33.34 33.34 33.34
Atoms (fractional coordinates):
Al (0.0000, 0.0000, 0.0000)
Zn (0.5000, 0.5000, 0.5000)
Se (0.2546, 0.2546, 0.2546)
Se (0.7454, 0.7454, 0.7454)



Entry 5:
Below is a relaxed AlZnSe2 crystal, with properties calculated at the PBE level.

Summary:
**Formation energy without anion corrections**: -102 kJ/mol of formula units
**Density**: 3.875 g/cm3
**Symmetry**: Cmmm, No. 65
**Density of states at the Fermi level**: 0.39 states/eV/f.u.
**Uncorrected energy**: -3.26 eV/atom
**Crystal system**: orthorhombic

a b c (Å): 4.4648 4.4648 7.2699
angles (deg): 90.00 90.00 132.25
Atoms (fractional coordinates):
Al (0.0000, 0.0000, 0.0000)
Zn (0.0000, 0.0000, 0.5000)
Se (0.5000, 0.5000, 0.2412)
Se (0.5000, 0.5000, 0.7588)



Entry 6:
Below is a relaxed AlZnSe2 crystal, with properties calculated at the PBE level.

Summary:
**Formation energy without anion corrections**: -96 kJ/mol of formula units
**Density**: 3.938 g/cm3
**Symmetry**: C2/m, No. 12
**Density of states at the Fermi level**: 0.66 states/eV/f.u.
**Uncorrected energy**: -3.25 eV/atom
**Crystal system**: monoclinic

a b c (Å): 5.1133 5.1133 4.4224
angles (deg): 106.85 106.85 89.55
Atoms (fractional coordinates):
Al (0.0000, 0.0000, 0.0000)
Zn (0.5000, 0.5000, 0.0000)
Se (0.0000, 0.5000, 0.0000)
Se (0.5000, 0.0000, 0.0000)



Entry 7:
Below is a relaxed AlZnSe2 crystal, with properties calculated at the PBE level.

Summary:
**Formation energy without anion corrections**: 103 kJ/mol of formula units
**Density**: 5.330 g/cm3
**Symmetry**: F-43m, No. 216
**Density of states at the Fermi level**: 2.21 states/eV/f.u.
**Uncorrected energy**: -2.73 eV/atom
**Crystal system**: cubic

a b c (Å): 4.7955 4.7955 4.7955
angles (deg): 60.00 60.00 60.00
Atoms (fractional coordinates):
Al (0.0000, 0.0000, 0.0000)
Zn (0.2500, 0.2500, 0.2500)
Se (0.5000, 0.5000, 0.5000)
Se (0.7500, 0.7500, 0.7500)



Entry 8:
Below is a relaxed AlZnSe2 crystal, with properties calculated at the PBE level.

Summary:
**Formation energy without anion corrections**: -167 kJ/mol of formula units
**Density**: 3.984 g/cm3
**Symmetry**: I-42d, No. 122
**Density of states at the Fermi level**: 1.41 states/eV/f.u.
**Uncorrected energy**: -3.43 eV/atom
**Crystal system**: tetragonal

a b c (Å): 7.2970 7.2970 7.2970
angles (deg): 132.27 132.27 69.81
Atoms (fractional coordinates):
Al (0.0000, 0.0000, 0.0000)
Al (0.7500, 0.2500, 0.5000)
Zn (0.2500, 0.7500, 0.5000)
Zn (0.5000, 0.5000, 0.0000)
Se (0.1182, 0.6250, 0.9932)
Se (0.3750, 0.3682, 0.4932)
Se (0.6318, 0.1250, 0.0068)
Se (0.8750, 0.8818, 0.5068)



Entry 9:
Below is a relaxed AlZnSe2 crystal, with properties calculated at the PBE level.

Summary:
**Formation energy without anion corrections**: 11 kJ/mol of formula units
**Density**: 4.743 g/cm3
**Symmetry**: Cmm2, No. 35
**Density of states at the Fermi level**: 2.10 states/eV/f.u.
**Uncorrected energy**: -2.97 eV/atom
**Crystal system**: orthorhombic

a b c (Å): 3.1379 3.1379 9.4823
angles (deg): 90.00 90.00 110.18
Atoms (fractional coordinates):
Al (0.0000, 0.0000, 0.0000)
Zn (0.5000, 0.5000, 0.2223)
Se (0.0000, 0.0000, 0.4127)
Se (0.5000, 0.5000, 0.8148)



Entry 10:
Below is a relaxed AlZn2Se4 crystal, with properties calculated at the PBE level.

Summary:
**Formation energy without anion corrections**: -403 kJ/mol of formula units
**Density**: 4.559 g/cm3
**Symmetry**: P-42m, No. 111
**Density of states at the Fermi level**: 5.90 states/eV/f.u.
**Uncorrected energy**: -3.49 eV/atom
**Crystal system**: tetragonal

a b c (Å): 5.6837 5.6837 5.3407
angles (deg): 90.00 90.00 90.00
Atoms (fractional coordinates):
Al (0.0000, 0.0000, 0.0000)
Zn (0.0000, 0.5000, 0.5000)
Zn (0.5000, 0.0000, 0.5000)
Se (0.2589, 0.2589, 0.2299)
Se (0.2589, 0.7411, 0.7701)
Se (0.7411, 0.2589, 0.7701)
Se (0.7411, 0.7411, 0.2299)



Entry 11:
Below is a relaxed Al3ZnSe crystal, with properties calculated at the PBE level.

Summary:
**Formation energy without anion corrections**: 139 kJ/mol of formula units
**Density**: 3.475 g/cm3
**Symmetry**: Pm-3m, No. 221
**Density of states at the Fermi level**: 1.66 states/eV/f.u.
**Uncorrected energy**: -2.91 eV/atom
**Crystal system**: cubic
**Energy above the most stable polymorph in this dataset**: 0.0000 eV per atom

a b c (Å): 4.7573 4.7573 4.7573
angles (deg): 90.00 90.00 90.00
Atoms (fractional coordinates):
Al (0.0000, 0.0000, 0.5000)
Al (0.0000, 0.5000, 0.0000)
Al (0.5000, 0.0000, 0.0000)
Zn (0.0000, 0.0000, 0.0000)
Se (0.5000, 0.5000, 0.5000)



Entry 12:
Below is a relaxed AlZnSe2 crystal, with properties calculated at the PBE level.

Summary:
**Formation energy without anion corrections**: -82 kJ/mol of formula units
**Density**: 4.218 g/cm3
**Symmetry**: I-4m2, No. 119
**Density of states at the Fermi level**: 0.64 states/eV/f.u.
**Uncorrected energy**: -3.21 eV/atom
**Crystal system**: tetragonal

a b c (Å): 7.8899 7.8899 7.8899
angles (deg): 153.37 153.37 38.02
Atoms (fractional coordinates):
Al (0.0000, 0.0000, 0.0000)
Zn (0.7500, 0.2500, 0.5000)
Se (0.2500, 0.7500, 0.5000)
Se (0.5000, 0.5000, 0.0000)



Entry 13:
Below is a relaxed AlZnSe2 crystal, with properties calculated at the PBE level.

Summary:
**Formation energy without anion corrections**: -109 kJ/mol of formula units
**Density**: 4.541 g/cm3
**Symmetry**: P2/m, No. 10
**Density of states at the Fermi level**: 0.74 states/eV/f.u.
**Uncorrected energy**: -3.28 eV/atom
**Crystal system**: monoclinic

a b c (Å): 3.9931 3.5301 6.4974
angles (deg): 90.00 91.82 90.00
Atoms (fractional coordinates):
Al (0.0000, 0.0000, 0.0000)
Zn (0.0000, 0.0000, 0.5000)
Se (0.2364, 0.5000, 0.2426)
Se (0.7636, 0.5000, 0.7574)